(1)
Below is CePmTc after structural relaxation, with properties calculated at the PBE level.

It has space group R-3m (No. 166, hexagonal axes), with a = 4.2006 Å, b = 4.2006 Å, c = 33.6272 Å, α = 90.00°, β = 90.00° and γ = 120.00°. Symmetry generates all atoms from Ce at (0.0000, 0.0000, 0.2066), Pm at (0.0000, 0.0000, 0.3794) and Tc at (0.0000, 0.0000, 0.1023).

For the total energy, the calculation gives -6.967 eV per atom. As for the crystal system: trigonal. The value obtained for the volume is 86 Å³/f.u. The formation energy is 1.14 kcal/mol of atoms. As for the energy above the most stable polymorph in this dataset: 0.0922 eV/atom.

(2)
Below is PrGa2Tc2P after structural relaxation, with properties calculated at the PBE level.

It has space group P4/mmm (No. 123), with a = 4.457 Å, b = 4.457 Å, c = 5.712 Å, α = 90.00°, β = 90.00° and γ = 90.00°. Symmetry generates all atoms from Pr at (0.000, 0.000, 0.000), Ga at (0.500, 0.500, 0.229), Tc at (0.000, 0.500, 0.500) and P at (0.000, 0.000, 0.500).

For the total energy, the calculation gives -6.651 eV per atom. As for the crystal system: tetragonal. The value obtained for the volume is 113 Å³/f.u. The formation energy is -11.27 kcal/mol of atoms.

(3)
Below is Ac7LaSm2 after structural relaxation, with properties calculated at the PBE level.

It has space group Cmmm (No. 65), with a = 10.192 Å, b = 16.498 Å, c = 6.124 Å, α = 90.00°, β = 90.00° and γ = 90.00°. Symmetry generates all atoms from Ac at (0.000, 0.000, 0.000), Ac at (0.000, 0.255, 0.500), Ac at (0.186, 0.374, 0.000), La at (0.000, 0.500, 0.500) and Sm at (0.000, 0.200, 0.000).

For the total energy, the calculation gives -3.722 eV per atom. As for the crystal system: orthorhombic. The value obtained for the volume is 515 Å³/f.u. The formation energy is 13.63 kcal/mol of atoms.

(4)
Below is Ag12S3I5 after structural relaxation, with properties calculated at the PBE level.

It has space group Ia-3d (No. 230), with a = 16.297 Å, b = 16.297 Å, c = 16.297 Å, α = 90.00°, β = 90.00° and γ = 90.00°. Symmetry generates all atoms from Ag at (0.017, 0.098, 0.652), S at (0.000, 0.250, 0.125), I at (0.000, 0.000, 0.000) and I at (0.000, 0.250, 0.375).

For the total energy, the calculation gives -2.726 eV per atom. As for the crystal system: cubic. The value obtained for the volume is 541 Å³/f.u. The value obtained for the energy relative to the elements, uncorrected is -0.18 eV/f.u.

(5)
Below is Er8InRu2 after structural relaxation, with properties calculated at the PBE level.

It has space group Cm (No. 8), with a = 17.220 Å, b = 5.234 Å, c = 6.875 Å, α = 90.00°, β = 113.48° and γ = 90.00°. Symmetry generates all atoms from Er at (0.000, 0.000, 0.000), Er at (0.001, 0.500, 0.271), Er at (0.110, 0.500, 0.839), Er at (0.170, 0.000, 0.532), Er at (0.211, 0.000, 0.112), Er at (0.289, 0.500, 0.690), Er at (0.331, 0.500, 0.194), Er at (0.390, 0.000, 0.619), In at (0.000, 0.000, 0.567), Ru at (0.172, 0.500, 0.268) and Ru at (0.330, 0.000, 0.925).

For the total energy, the calculation gives -5.522 eV per atom. As for the crystal system: monoclinic. The value obtained for the volume is 284 Å³/f.u. The formation energy is -6.17 kcal/mol of atoms. As for the energy above the most stable polymorph in this dataset: 0.0080 eV/atom.

(6)
Below is Pr3NdMg3 after structural relaxation, with properties calculated at the PBE level.

It has space group C2/m (No. 12), with a = 7.447 Å, b = 10.866 Å, c = 10.941 Å, α = 90.00°, β = 90.96° and γ = 90.00°. Symmetry generates all atoms from Pr at (0.000, 0.174, 0.000), Pr at (0.000, 0.228, 0.500), Pr at (0.020, 0.500, 0.834), Nd at (0.210, 0.500, 0.495), Mg at (0.002, 0.000, 0.740) and Mg at (0.245, 0.254, 0.251).

For the total energy, the calculation gives -3.344 eV per atom. As for the crystal system: monoclinic. The value obtained for the volume is 221 Å³/f.u. The formation energy is 1.58 kcal/mol of atoms.

(7)
Below is LiScIn after structural relaxation, with properties calculated at the PBE level.

It has space group I4mm (No. 107), with a = 3.403 Å, b = 3.403 Å, c = 10.868 Å, α = 90.00°, β = 90.00° and γ = 90.00°. Symmetry generates all atoms from Li at (0.000, 0.000, 0.000), Sc at (0.000, 0.000, 0.315) and In at (0.000, 0.000, 0.634).

For the total energy, the calculation gives -3.840 eV per atom. As for the crystal system: tetragonal. The value obtained for the volume is 63 Å³/f.u. The formation energy is -4.12 kcal/mol of atoms.

(8)
Below is LaPr2NdBi4 after structural relaxation, with properties calculated at the PBE level.

It has space group P2/m (No. 10), with a = 8.052 Å, b = 4.653 Å, c = 8.053 Å, α = 90.00°, β = 109.46° and γ = 90.00°. Symmetry generates all atoms from La at (0.000, 0.000, 0.000), Pr at (0.000, 0.500, 0.500), Pr at (0.500, 0.000, 0.500), Nd at (0.500, 0.500, 0.000), Bi at (0.252, 0.000, 0.751) and Bi at (0.252, 0.500, 0.251).

For the total energy, the calculation gives -5.329 eV per atom. As for the crystal system: monoclinic. The value obtained for the volume is 284 Å³/f.u. The formation energy is -22.63 kcal/mol of atoms.

(9)
Below is NbNiS3 after structural relaxation, with properties calculated at the PBE level.

It has space group Cmcm (No. 63), with a = 3.384 Å, b = 12.430 Å, c = 8.140 Å, α = 90.00°, β = 90.00° and γ = 90.00°. Symmetry generates all atoms from Nb at (0.000, 0.229, 0.250), Ni at (0.000, 0.030, 0.750), S at (0.000, 0.165, 0.575) and S at (0.000, 0.422, 0.750).

For the total energy, the calculation gives -6.242 eV per atom. As for the crystal system: orthorhombic. The value obtained for the volume is 86 Å³/f.u. The value obtained for the energy relative to the elements, uncorrected is -2.98 eV/f.u. As for the energy above the most stable polymorph in this dataset: 0.0000 eV/atom.

(10)
Below is CuAg2TeRh after structural relaxation, with properties calculated at the PBE level.

It has space group P4/mmm (No. 123), with a = 4.741 Å, b = 4.741 Å, c = 4.814 Å, α = 90.00°, β = 90.00° and γ = 90.00°. Symmetry generates all atoms from Cu at (0.000, 0.000, 0.000), Ag at (0.000, 0.500, 0.000), Te at (0.000, 0.000, 0.500) and Rh at (0.500, 0.500, 0.500).

For the total energy, the calculation gives -3.282 eV per atom. As for the crystal system: tetragonal. The value obtained for the volume is 108 Å³/f.u. The value obtained for the energy relative to the elements, uncorrected is 3.88 eV/f.u.

(11)
Below is HgPd2IF after structural relaxation, with properties calculated at the PBE level.

It has space group P4/mmm (No. 123), with a = 4.334 Å, b = 4.334 Å, c = 5.926 Å, α = 90.00°, β = 90.00° and γ = 90.00°. Symmetry generates all atoms from Hg at (0.000, 0.000, 0.000), Pd at (0.000, 0.500, 0.500), I at (0.500, 0.500, 0.000) and F at (0.500, 0.500, 0.500).

For the total energy, the calculation gives -2.696 eV per atom. As for the crystal system: tetragonal. The value obtained for the volume is 111 Å³/f.u. The value obtained for the energy relative to the elements, uncorrected is 0.63 eV/f.u.

(12)
Below is Sm2Cd2Pd5 after structural relaxation, with properties calculated at the PBE level.

It has space group Amm2 (No. 38), with a = 8.732 Å, b = 4.452 Å, c = 9.388 Å, α = 90.00°, β = 90.00° and γ = 90.00°. Symmetry generates all atoms from Sm at (0.216, 0.000, 0.000), Cd at (0.000, 0.000, 0.316), Cd at (0.500, 0.000, 0.577), Pd at (0.158, 0.000, 0.690), Pd at (0.334, 0.000, 0.297) and Pd at (0.500, 0.000, 0.866).

For the total energy, the calculation gives -4.722 eV per atom. As for the crystal system: orthorhombic. The value obtained for the volume is 182 Å³/f.u. The formation energy is -13.49 kcal/mol of atoms.